Material: AlC3N
Method: DFT, PBE
State: optimized geometry

The density of states at the Fermi level is 2.7 states/eV per cell. Its crystal system is cubic. For the total energy, the calculation gives -4.4593 eV/atom. Its total magnetization is 0.00 μB per formula unit. The energy above the most stable polymorph in this dataset comes out at 547 meV/atom. For the formation energy from raw total energies, the calculation gives 1683 kJ/mol of formula units.

It has space group Pm-3m (No. 221), with a = 3.8858 Å, b = 3.8858 Å, c = 3.8858 Å, α = 90.00°, β = 90.00° and γ = 90.00°. The asymmetric unit holds Al at (0.0000, 0.0000, 0.0000), C at (0.0000, 0.0000, 0.5000) and N at (0.5000, 0.5000, 0.5000).